[1]
4
Lattice="-1.842 -2.825 -1.215 3.066 -1.577 -0.982 0.237 -1.534 3.206" Properties=species:S:1:pos:R:3 comment="CrFe2Re | Alexandria | SCAN | single point on PBEsol structure" formation_enthalpy_0k_ev_per_atom=0.1428 dos_ef_per_ev_atom=0.660 sg="No. 123" pbc="T T T"
Cr 0.119 -0.767 1.603
Re 0.730 -2.968 0.504
Fe 1.533 -0.789 -0.491
Fe -0.921 -1.413 -0.608

=====

[2]
4
Lattice="2.983 0.000 0.000 0.000 2.983 0.000 0.000 0.000 5.268" Properties=species:S:1:pos:R:3 comment="CrFe2Re | Alexandria | SCAN | single point on PBEsol structure" formation_enthalpy_0k_ev_per_atom=0.1666 dos_ef_per_ev_atom=0.872 sg="No. 99" pbc="T T T"
Fe 0.000 0.000 5.226
Re 0.000 0.000 2.594
Cr 1.491 1.491 4.108
Fe 1.491 1.491 1.242

=====

[3]
4
Lattice="2.951 0.000 0.000 0.000 3.972 0.000 -1.475 -1.986 4.063" Properties=species:S:1:pos:R:3 comment="CrFe2Re | Alexandria | SCAN | single point on PBEsol structure" formation_enthalpy_0k_ev_per_atom=0.0355 dos_ef_per_ev_atom=0.718 sg="No. 71" pbc="T T T"
Fe 0.000 0.000 2.069
Cr 0.000 1.986 0.000
Re 1.475 0.000 0.000
Fe 1.475 1.986 1.994

=====

[4]
6
Lattice="4.552 0.000 0.000 2.276 3.942 0.000 2.276 1.314 3.716" Properties=species:S:1:pos:R:3 comment="CrFe4Re | Alexandria | SCAN | single point on PBEsol structure" formation_enthalpy_0k_ev_per_atom=0.1475 dos_ef_per_ev_atom=1.057 sg="No. 216" pbc="T T T"
Fe 3.411 3.287 2.324
Fe 4.552 2.628 0.461
Re 2.276 1.314 0.929
Cr 0.000 0.000 0.000
Fe 4.552 1.310 2.324
Fe 5.693 3.287 2.324